[1]
Material: Ba5CdO6
Method: DFT, GGA-PBE
State: optimized geometry

Unit cell a=6.778 b=11.589 c=6.744 alpha=90.00 beta=110.30 gamma=90.00
Space group C2/m (No. 12)
Inequivalent atoms, fractional coordinates:
1 Ba 0.000 0.000 0.000
2 Ba 0.000 0.167 0.500
3 Ba 0.000 0.338 0.000
4 Cd 0.000 0.500 0.500
5 O 0.235 0.343 0.738
6 O 0.245 0.500 0.243

Computed properties:
formation energy without anion corrections: -2.175 eV/atom
crystal system: monoclinic


[2]
Material: AlSiPb2
Method: DFT, GGA-PBE
State: optimized geometry

Unit cell a=3.425 b=3.668 c=8.168 alpha=90.00 beta=101.44 gamma=90.00
Space group Pm (No. 6)
Inequivalent atoms, fractional coordinates:
1 Al 0.000 0.000 0.000
2 Si 0.459 0.500 0.910
3 Pb 0.290 0.000 0.621
4 Pb 0.608 0.500 0.279

Computed properties:
formation energy without anion corrections: 0.219 eV/atom
crystal system: monoclinic


[3]
Material: MgIr2Br
Method: DFT, GGA-PBE
State: optimized geometry

Unit cell a=3.001 b=4.663 c=9.681 alpha=90.00 beta=90.00 gamma=90.00
Space group Imm2 (No. 44)
Inequivalent atoms, fractional coordinates:
1 Mg 0.000 0.000 0.000
2 Ir 0.000 0.000 0.496
3 Ir 0.000 0.500 0.228
4 Br 0.000 0.500 0.775

Computed properties:
ΔE to the lowest computed polymorph: 153.5 kJ/mol of formula units
formation energy without anion corrections: 0.501 eV/atom
crystal system: orthorhombic


[4]
Material: ScSO4F2
Method: DFT, GGA-PBE
State: optimized geometry

Unit cell a=5.172 b=8.008 c=5.499 alpha=90.00 beta=90.00 gamma=90.00
Space group Pmn2_1 (No. 31)
Inequivalent atoms, fractional coordinates:
1 Sc 0.000 0.091 0.000
2 S 0.000 0.638 0.669
3 O 0.000 0.454 0.648
4 O 0.000 0.691 0.926
5 O 0.235 0.704 0.545
6 F 0.250 0.020 0.735

Computed properties:
formation energy without anion corrections: -2.176 eV/atom
crystal system: orthorhombic


[5]
Material: PuUPdRu
Method: DFT, GGA-PBE
State: optimized geometry

Unit cell a=6.861 b=6.861 c=6.861 alpha=90.00 beta=90.00 gamma=90.00
Space group F-43m (No. 216)
Inequivalent atoms, fractional coordinates:
1 Pu 0.000 0.000 0.000
2 U 0.000 0.000 0.500
3 Pd 0.250 0.250 0.750
4 Ru 0.250 0.250 0.250

Computed properties:
ΔE to the lowest computed polymorph: 70.2 kJ/mol of formula units
calculated formation energy: -0.172 eV per atom
crystal system: cubic


[6]
Material: RbNiHg2Te
Method: DFT, GGA-PBE
State: optimized geometry

Unit cell a=5.227 b=5.227 c=5.295 alpha=90.00 beta=90.00 gamma=90.00
Space group P4/mmm (No. 123)
Inequivalent atoms, fractional coordinates:
1 Rb 0.000 0.000 0.000
2 Ni 0.500 0.500 0.500
3 Hg 0.000 0.500 0.500
4 Te 0.500 0.500 0.000

Computed properties:
formation energy without anion corrections: -0.244 eV/atom
crystal system: tetragonal


Number 1: E -5.532 eV per atom. Number 2: E -3.926 eV per atom. Number 3: E -4.746 eV per atom. Number 4: E -6.430 eV per atom. Number 5: E -10.194 eV per atom. Number 6: E -2.343 eV per atom.